Compound: CaAcPBr
Source: the Alexandria database
Functional: PBE
Structure: relaxed

a b c (Å): 4.257 4.257 8.092
angles (deg): 90.00 105.25 120.00
Each line ends with the local moment (μB).
Fractional positions:
Ca  0.106  0.951  0.072  0.04
Ac  0.498  0.147  0.660  0.20
P  0.317  0.557  0.889  0.00
Br  0.957  0.376  0.348  0.00

Results
E in eV per cell: -19.0
ρ in g/cm³: 5.2
Uncorrected formation energy in eV/f.u.: -5.79
Total moment in μB per atom: 0.21
Symmetry: R3m, No. 160

---

Compound: Cs2In2Pd
Source: the Alexandria database
Functional: PBE
Structure: relaxed

a b c (Å): 7.387 7.387 6.566
angles (deg): 90.00 90.00 90.00
Fractional positions:
Cs  0.186  0.686  0.500
Cs  0.686  0.814  0.500
Cs  0.814  0.314  0.500
Cs  0.314  0.186  0.500
Pd  0.000  0.000  0.000
Pd  0.500  0.500  0.000
In  0.350  0.850  0.000
In  0.850  0.650  0.000
In  0.650  0.150  0.000
In  0.150  0.350  0.000

Results
E in eV per cell: -24.9
ρ in g/cm³: 5.6
Total moment in μB per atom: 0.00
Symmetry: P4/mbm, No. 127

---

Compound: Li5Ag12Pd2
Source: the Alexandria database
Functional: PBE
Structure: relaxed

a b c (Å): 5.576 8.208 8.134
angles (deg): 103.18 90.00 109.86
Fractional positions:
Li  0.275  0.550  0.562
Li  0.386  0.771  0.110
Li  0.000  0.000  0.500
Li  0.614  0.229  0.890
Li  0.725  0.450  0.438
Ag  0.094  0.188  0.296
Ag  0.045  0.594  0.870
Ag  0.550  0.594  0.870
Ag  0.115  0.730  0.370
Ag  0.615  0.730  0.370
Ag  0.462  0.924  0.674
Ag  0.538  0.076  0.326
Ag  0.885  0.270  0.630
Ag  0.385  0.270  0.630
Ag  0.955  0.406  0.130
Ag  0.450  0.406  0.130
Ag  0.906  0.812  0.704
Pd  0.752  0.000  0.000
Pd  0.248  0.000  0.000

Results
E in eV per cell: -53.9
ρ in g/cm³: 7.5
Total moment in μB per atom: 0.00
Symmetry: C2/m, No. 12

---

Compound: TbEuGePd
Source: the Alexandria database
Functional: PBE
Structure: relaxed

a b c (Å): 5.102 5.102 5.102
angles (deg): 60.00 60.00 60.00
Each line ends with the local moment (μB).
Fractional positions:
Eu  0.000  0.000  0.000  6.74
Ge  0.250  0.250  0.250  -0.03
Tb  0.500  0.500  0.500  0.00
Pd  0.750  0.750  0.750  -0.03

Results
E in eV per cell: -27.5
ρ in g/cm³: 8.7
Total moment in μB per atom: 1.71
Symmetry: F-43m, No. 216